AcTbGePt | PBE | relaxed

Summary:
E above lowest polymorph: 0.000 eV per atom
DFT formation energy: -799 meV per atom
space group: F-43m, No. 216

abc: 5.252 5.252 5.252
angles: 60.00 60.00 60.00
Atoms (fractional coordinates):
Ge1 0.250 0.250 0.250
Pt1 0.750 0.750 0.750
Ac1 0.500 0.500 0.500
Tb1 0.000 0.000 0.000

Sm2AgPbO5 | PBE | relaxed

Summary:
formation energy from raw total energies: -1.835 eV per atom
space group: P4/mbm, No. 127

abc: 6.404 6.740 6.740
angles: 90.00 90.00 90.00
Atoms (fractional coordinates):
O1 0.728 0.643 0.857
Pb1 0.000 0.500 0.000
Sm1 0.500 0.174 0.326
Ag1 0.000 0.000 0.000
O2 0.728 0.357 0.143
Sm2 0.500 0.326 0.826
Sm3 0.500 0.826 0.674
O3 0.500 0.000 0.000
O4 0.272 0.857 0.357
O5 0.272 0.357 0.143
Pb2 0.000 0.000 0.500
Ag2 0.000 0.500 0.500
O6 0.500 0.500 0.500
O7 0.272 0.643 0.857
O8 0.272 0.143 0.643
Sm4 0.500 0.674 0.174
O9 0.728 0.857 0.357
O10 0.728 0.143 0.643

LaInW2 | PBE | relaxed

Summary:
DFT formation energy: 210 meV per atom
space group: Pmm2, No. 25

abc: 3.310 3.299 8.690
angles: 67.73 90.00 90.00
Atoms (fractional coordinates):
W1 0.000 0.943 0.057
W2 0.500 0.285 0.215
La1 0.500 0.725 0.775
In1 0.000 0.548 0.452

CuRe3Si | PBE | relaxed

Summary:
formation energy from raw total energies: 2.143 eV per atom
E above lowest polymorph: 0.677 eV per atom
space group: Pm-3m, No. 221

abc: 4.432 4.432 4.432
angles: 90.00 90.00 90.00
Atoms (fractional coordinates):
Re1 0.500 0.000 0.000
Si1 0.500 0.500 0.500
Re2 0.000 0.500 0.000
Cu1 0.000 0.000 0.000
Re3 0.000 0.000 0.500

Tb2Ga3Sn2 | PBE | relaxed

Summary:
DFT formation energy: -346 meV per atom
space group: I2_13, No. 199

abc: 7.602 7.602 7.602
angles: 109.47 109.47 109.47
Atoms (fractional coordinates):
Ga1 0.743 0.250 0.493
Ga2 0.993 0.243 0.250
Tb1 0.510 0.010 0.010
Ga3 0.250 0.007 0.257
Ga4 0.507 0.257 0.750
Tb2 0.000 0.000 0.490
Ga5 0.750 0.493 0.243
Ga6 0.757 0.750 0.007
Sn1 0.500 0.883 0.500
Sn2 0.000 0.000 0.883
Tb3 0.500 0.490 0.500
Sn3 0.117 0.617 0.617
Sn4 0.383 0.500 0.000
Tb4 0.990 0.500 0.000

ZnCrIn4 | PBE | relaxed

Summary:
DFT formation energy: 509 meV per atom
space group: F-43m, No. 216

abc: 6.015 6.015 6.015
angles: 60.00 60.00 60.00
Atoms (fractional coordinates):
Cr1 0.000 0.000 0.000
In1 0.375 0.375 0.875
In2 0.375 0.375 0.375
In3 0.375 0.875 0.375
Zn1 0.750 0.750 0.750
In4 0.875 0.375 0.375

V2Fe3 | PBE | relaxed

Summary:
DFT formation energy: -121 meV per atom
space group: I4/mmm, No. 139

abc: 2.905 2.905 7.364
angles: 101.37 101.37 90.00
Atoms (fractional coordinates):
V1 0.602 0.602 0.205
V2 0.398 0.398 0.795
Fe1 0.200 0.200 0.399
Fe2 0.800 0.800 0.601
Fe3 0.000 0.000 0.000

Pa2GaIr | PBE | relaxed

Summary:
E above lowest polymorph: 0.042 eV per atom
DFT formation energy: -499 meV per atom
space group: P4/mmm, No. 123

abc: 4.266 4.352 4.352
angles: 90.00 90.00 90.00
Atoms (fractional coordinates):
Ir1 0.500 0.500 0.500
Pa1 0.000 0.000 0.500
Ga1 0.500 0.000 0.000
Pa2 0.000 0.500 0.000

| no. | DFT total energy (eV for the cell shown) |
| --- | --- |
| 1 | -22.6 |
| 2 | -114.6 |
| 3 | -32.7 |
| 4 | -36.1 |
| 5 | -57.5 |
| 6 | -18.8 |
| 7 | -44.2 |
| 8 | -32.9 |